A relaxed structure of Sc2NiO. Source: Alexandria via LeMat-Bulk, functional PBE with a Hubbard U.

a = 3.7363 Å, b = 3.7363 Å, c = 19.8261 Å
α = 90.00°, β = 90.00°, γ = 120.00°
Space group R-3m (No. 166, hexagonal axes)
Asymmetric unit:
Sc 0.0000 0.0000 0.0950 (multiplicity 6)
Ni 0.0000 0.0000 0.5000 (multiplicity 3)
O 0.0000 0.0000 0.0000 (multiplicity 3)

## Properties
VASP energy, eV per atom: -5.967
DOS at the Fermi energy, states/eV/atom: 0.005